[1]
Density functional theory data (PBE) for an optimized crystal structure of Sc2TiTc5B2.

a b c (Å): 9.387 9.387 3.166
angles (deg): 90.00 90.00 90.00
Sites, in units of the cell vectors:
1 Sc 0.174 0.326 0.000
2 Sc 0.326 0.826 0.000
3 Sc 0.674 0.174 0.000
4 Sc 0.826 0.674 0.000
5 Ti 0.000 0.000 0.000
6 Ti 0.500 0.500 0.000
7 Tc 0.000 0.500 0.500
8 Tc 0.068 0.788 0.500
9 Tc 0.212 0.068 0.500
10 Tc 0.288 0.568 0.500
11 Tc 0.432 0.288 0.500
12 Tc 0.500 0.000 0.500
13 Tc 0.568 0.712 0.500
14 Tc 0.712 0.432 0.500
15 Tc 0.788 0.932 0.500
16 Tc 0.932 0.212 0.500
17 B 0.127 0.627 0.000
18 B 0.373 0.127 0.000
19 B 0.627 0.873 0.000
20 B 0.873 0.373 0.000

electronic total energy = -8.90 eV per atom
M_tot = 0.0 μB per formula unit

[2]
Density functional theory data (PBE) for an optimized crystal structure of Sc2Tc5B2W.

a b c (Å): 9.492 9.492 3.128
angles (deg): 90.00 90.00 90.00
Sites, in units of the cell vectors:
1 Sc 0.177 0.323 0.000
2 Sc 0.323 0.823 0.000
3 Sc 0.677 0.177 0.000
4 Sc 0.823 0.677 0.000
5 Tc 0.000 0.500 0.500
6 Tc 0.067 0.785 0.500
7 Tc 0.215 0.067 0.500
8 Tc 0.285 0.567 0.500
9 Tc 0.433 0.285 0.500
10 Tc 0.500 0.000 0.500
11 Tc 0.567 0.715 0.500
12 Tc 0.715 0.433 0.500
13 Tc 0.785 0.933 0.500
14 Tc 0.933 0.215 0.500
15 B 0.123 0.623 0.000
16 B 0.377 0.123 0.000
17 B 0.623 0.877 0.000
18 B 0.877 0.377 0.000
19 W 0.000 0.000 0.000
20 W 0.500 0.500 0.000

electronic total energy = -9.38 eV per atom
M_tot = 0.0 μB per formula unit

[3]
Density functional theory data (PBE) for an optimized crystal structure of ScBTe2.

a b c (Å): 6.367 6.367 9.996
angles (deg): 90.00 90.00 90.00
Sites, in units of the cell vectors:
1 Sc 0.000 0.000 0.000
2 Sc 0.000 0.500 0.250
3 Sc 0.500 0.000 0.750
4 Sc 0.500 0.500 0.500
5 B 0.000 0.000 0.500
6 B 0.000 0.500 0.750
7 B 0.500 0.000 0.250
8 B 0.500 0.500 0.000
9 Te 0.178 0.250 0.625
10 Te 0.250 0.678 0.875
11 Te 0.250 0.822 0.375
12 Te 0.322 0.250 0.125
13 Te 0.678 0.750 0.125
14 Te 0.750 0.178 0.375
15 Te 0.750 0.322 0.875
16 Te 0.822 0.750 0.625

formation energy without anion corrections = 0.108 eV/atom
M_tot = 0.0 μB per formula unit

[4]
Density functional theory data (PBE) for an optimized crystal structure of ScB3Te.

a b c (Å): 4.510 4.510 4.510
angles (deg): 90.00 90.00 90.00
Sites, in units of the cell vectors:
1 Sc 0.000 0.000 0.000
2 B 0.000 0.000 0.500
3 B 0.000 0.500 0.000
4 B 0.500 0.000 0.000
5 Te 0.500 0.500 0.500

E above lowest polymorph = 0.147 eV/atom
formation energy without anion corrections = 1.922 eV/atom
M_tot = 0.0 μB per formula unit